No. 1
# VTcOs

Crystalline VTcOs at its relaxed geometry (PBE, Alexandria).

Cell lengths 5.188, 6.968, 4.790 Å; angles 90.00, 90.00, 97.38 degrees
Fractional positions:
Os 0.910 0.666 0.580
Tc 0.241 0.498 0.908
Os 0.910 0.166 0.920
V 0.597 0.838 0.879
Os 0.090 0.834 0.080
Tc 0.759 0.502 0.092
Os 0.090 0.334 0.420
Tc 0.759 0.002 0.408
Tc 0.241 0.998 0.592
V 0.403 0.662 0.379
V 0.403 0.162 0.121
V 0.597 0.338 0.621

Results
The total magnetic moment is 0.0 Bohr magnetons per cell. The value obtained for the calculated total energy is -0.7563 Ry per atom. The value obtained for the formation energy is -52 meV/atom. As for the space group: P2_1/c (14). The relative energy among the computed polymorphs is 11 meV/atom.

=====

No. 2
# V4TcOs

Crystalline V4TcOs at its relaxed geometry (PBE, Alexandria).

Cell lengths 4.101, 4.102, 5.877 Å; angles 89.96, 89.98, 90.00 degrees
Fractional positions:
Os 0.501 0.497 0.998
V 0.501 0.998 0.747
V 0.501 0.997 0.249
V 0.001 0.497 0.249
V 0.001 0.497 0.747
Tc 0.001 0.997 0.498

Results
The total magnetic moment is 0.0 Bohr magnetons per cell. The value obtained for the calculated total energy is -0.6837 Ry per atom. The value obtained for the formation energy is 376 meV/atom. As for the space group: P4/mmm (123). The relative energy among the computed polymorphs is 683 meV/atom.

=====

No. 3
# V2TcOs

Crystalline V2TcOs at its relaxed geometry (PBE, Alexandria).

Cell lengths 6.800, 6.800, 5.466 Å; angles 51.54, 51.54, 90.00 degrees
Fractional positions:
V 0.375 0.373 0.750
V 0.875 0.877 0.750
Os 0.000 0.000 0.000
V 0.627 0.125 0.250
Os 0.750 0.250 0.500
V 0.123 0.625 0.250
Tc 0.250 0.750 0.500
Tc 0.500 0.500 0.000

Results
The total magnetic moment is 0.0 Bohr magnetons per cell. The value obtained for the calculated total energy is -0.6954 Ry per atom. The value obtained for the formation energy is 497 meV/atom. As for the space group: I-42d (122). The relative energy among the computed polymorphs is 837 meV/atom.